*one*
Crystalline VPdOF2 at its relaxed geometry, computed with PBE with a Hubbard U.

a b c (Å): 4.1697 4.1697 4.0805
angles (deg): 90.00 90.00 90.00
With the nearest neighbours (Å) after each atom.
Space group P4/mmm (No. 123)
Inequivalent atoms, fractional coordinates:
V1 0.0000 0.0000 0.0000  8 F 2.92, 4 O 2.95
Pd1 0.5000 0.5000 0.5000  2 O 2.04, 4 F 2.08
O1 0.5000 0.5000 0.0000  2 Pd 2.04
F1 0.0000 0.5000 0.5000  2 Pd 2.08

Values from the calculation:
crystal system	tetragonal
total magnetization	0.2	μB/f.u.

---

*two*
Crystalline VPdOF2 at its relaxed geometry, computed with PBE with a Hubbard U.

a b c (Å): 4.0788 4.0788 3.7396
angles (deg): 90.00 90.00 90.00
With the nearest neighbours (Å) after each atom.
Space group P4/mmm (No. 123)
Inequivalent atoms, fractional coordinates:
V1 0.0000 0.0000 0.0000  2 O 1.87, 4 F 2.04
Pd1 0.5000 0.5000 0.5000  8 F 2.77, 4 O 2.88
O1 0.0000 0.0000 0.5000  2 V 1.87
F1 0.0000 0.5000 0.0000  2 V 2.04

Values from the calculation:
crystal system	tetragonal
total magnetization	1.0	μB/f.u.

---

Compare the structures above. Which one is the most stable? *two* is.